[1]
PBE-GGA Si2SnAs4, relaxed; calculated volume = 171.30 Å³/cell; ΔE_f (raw) = -0.0101 eV/atom
1.0
5.4372 0.0000 0.0000
0.0000 5.4372 0.0000
0.0000 0.0000 5.7944
As Sn Si
4 1 2
Cartesian
3.8474 3.8474 1.4330 As
1.5898 3.8474 4.3614 As
3.8474 1.5898 4.3614 As
1.5898 1.5898 1.4330 As
0.0000 0.0000 0.0000 Sn
0.0000 2.7186 2.8972 Si
2.7186 0.0000 2.8972 Si

***

[2]
PBE-GGA MgReBi2, relaxed; calculated volume = 273.43 Å³/cell; energy relative to the elements = 0.903 eV per atom
1.0
6.6332 0.0000 0.0000
0.0000 6.6332 0.0000
3.3166 3.3166 6.2144
Bi Mg Re
4 2 2
Cartesian
8.2914 8.5591 4.6608 Bi
1.3906 4.9749 1.5536 Bi
5.2425 1.6583 1.5536 Bi
4.9749 4.7072 4.6608 Bi
3.3166 6.6332 3.1072 Mg
3.3166 3.3166 0.0000 Mg
6.6332 3.3166 3.1072 Re
0.0000 0.0000 0.0000 Re

***

[3]
PBE-GGA PuPa2Ti3N6, relaxed; calculated volume = 144.86 Å³/cell; ΔE_f (raw) = -1.5295 eV/atom
1.0
-1.9855 -1.6128 1.9125
5.0549 -3.6655 2.1567
0.5833 6.4760 3.3996
N Ti Pa Pu
6 3 2 1
Cartesian
3.6673 -2.5817 1.6301 N
1.9404 -1.2431 3.6331 N
-0.8124 0.9597 2.6327 N
-0.0147 3.7795 5.8388 N
4.4651 0.2381 4.8362 N
1.7122 2.4408 3.8358 N
4.0782 -1.1985 3.2232 Ti
1.5347 -2.6392 2.0346 Ti
-0.4256 2.3962 4.2457 Ti
1.5355 0.6742 2.1626 Pa
2.1171 0.5236 5.3063 Pa
-0.9928 -0.8064 0.9563 Pu

***

Number 1: total magnetic moment 0.00 μB per atom. Number 2: total magnetic moment 0.00 μB per atom. Number 3: total magnetic moment 0.40 μB per atom.